Below is an optimized crystal structure of Pu3ThS6, with properties calculated at the GGA-PBE level.

Output
The density of states at the Fermi level comes out at 60.52 states/eV per cell. The calculation puts the uncorrected formation energy at -1327 meV/atom. For the energy, the calculation gives -8.845 eV/atom.

a b c (Å): 9.456 4.107 14.666
angles (deg): 90.00 96.63 90.00
Space group P2_1/m (No. 11)
Symmetry-distinct sites (fractional):
Pu (0.029, 0.250, 0.278)
Pu (0.135, 0.250, 0.552)
Pu (0.397, 0.250, 0.392)
Th (0.194, 0.750, 0.081)
S (0.014, 0.750, 0.913)
S (0.151, 0.250, 0.734)
S (0.168, 0.750, 0.416)
S (0.302, 0.250, 0.201)
S (0.423, 0.250, 0.582)
S (0.455, 0.750, 0.991)

---

Below is an optimized crystal structure of PuTh4S5, with properties calculated at the GGA-PBE level.

Output
The density of states at the Fermi level comes out at 21.44 states/eV per cell. The calculation puts the uncorrected formation energy at -1833 meV/atom. For the energy, the calculation gives -8.298 eV/atom.

a b c (Å): 8.999 8.999 5.701
angles (deg): 90.00 90.00 90.00
Space group I4/m (No. 87)
Symmetry-distinct sites (fractional):
Pu (0.000, 0.000, 0.000)
Th (0.099, 0.699, 0.500)
S (0.000, 0.000, 0.500)
S (0.100, 0.705, 0.000)

---

Below is an optimized crystal structure of Pu3Th4S8, with properties calculated at the GGA-PBE level.

Output
The density of states at the Fermi level comes out at 54.21 states/eV per cell. The calculation puts the uncorrected formation energy at -1814 meV/atom. For the energy, the calculation gives -8.860 eV/atom.

a b c (Å): 11.278 11.300 7.981
angles (deg): 90.00 134.71 90.00
Space group C2/m (No. 12)
Symmetry-distinct sites (fractional):
Pu (0.000, 0.000, 0.000)
Pu (0.250, 0.250, 0.000)
Th (0.000, 0.000, 0.500)
Th (0.000, 0.500, 0.000)
Th (0.250, 0.250, 0.500)
S (0.000, 0.246, 0.000)
S (0.000, 0.255, 0.500)
S (0.245, 0.500, 0.504)
S (0.250, 0.000, 0.006)

---

Below is an optimized crystal structure of PuTh3S6, with properties calculated at the GGA-PBE level.

Output
The density of states at the Fermi level comes out at 21.88 states/eV per cell. The calculation puts the uncorrected formation energy at -1833 meV/atom. For the energy, the calculation gives -7.968 eV/atom.

a b c (Å): 11.013 4.104 11.421
angles (deg): 90.00 105.30 90.00
Space group P2_1/m (No. 11)
Symmetry-distinct sites (fractional):
Pu (0.047, 0.250, 0.193)
Th (0.157, 0.250, 0.568)
Th (0.303, 0.750, 0.989)
Th (0.406, 0.250, 0.332)
S (0.083, 0.750, 0.394)
S (0.115, 0.250, 0.954)
S (0.197, 0.750, 0.739)
S (0.244, 0.750, 0.216)
S (0.416, 0.250, 0.584)
S (0.471, 0.250, 0.110)

---

Below is an optimized crystal structure of PuThS4, with properties calculated at the GGA-PBE level.

Output
The density of states at the Fermi level comes out at 8.22 states/eV per cell. The calculation puts the uncorrected formation energy at -1683 meV/atom. For the energy, the calculation gives -8.060 eV/atom.

a b c (Å): 4.650 4.650 6.570
angles (deg): 90.00 90.00 90.00
Space group P4/mmm (No. 123)
Symmetry-distinct sites (fractional):
Pu (0.000, 0.000, 0.000)
Th (0.500, 0.500, 0.500)
S (0.000, 0.500, 0.243)

---

Below is an optimized crystal structure of Pu5Th3S8, with properties calculated at the GGA-PBE level.

Output
The density of states at the Fermi level comes out at 100.98 states/eV per cell. The calculation puts the uncorrected formation energy at -1808 meV/atom. For the energy, the calculation gives -9.741 eV/atom.

a b c (Å): 7.9188 7.9188 19.7251
angles (deg): 90.00 90.00 120.00
Space group R-3m (No. 166, hexagonal axes)
Symmetry-distinct sites (fractional):
Pu (0.0000, 0.0000, 0.0000)
Pu (0.0000, 0.0000, 0.5000)
Pu (0.0000, 0.5000, 0.0000)
Th (0.0000, 0.5000, 0.5000)
S (0.0000, 0.0000, 0.2541)
S (0.0033, 0.5016, 0.2527)